A plane-wave DFT calculation with PBEsol was carried out for Hg2TePdRu after structural relaxation. Values from VASP.

Structure (Quantum ESPRESSO input):
```
&SYSTEM
  ibrav = 0, nat = 5, ntyp = 4
/
ATOMIC_SPECIES
Hg 200.59 Hg.upf
Te 127.60 Te.upf
Pd 106.42 Pd.upf
Ru 101.07 Ru.upf
CELL_PARAMETERS angstrom
5.0998 0.0000 0.0000
0.0000 5.0998 0.0000
0.0000 0.0000 4.7020
ATOMIC_POSITIONS angstrom
Hg 0.0000 2.5499 0.0000
Hg 2.5499 0.0000 0.0000
Te 0.0000 0.0000 2.3510
Pd 2.5499 2.5499 2.3510
Ru 2.5499 2.5499 0.0000
```

Results
Density of states at the Fermi level (states/eV/cell): 5.30
Formation energy from raw total energies (eV per atom): 0.91
Mass density (g/cm3): 10.0
DFT total energy (eV per atom): -3.251